(1)
# Sn2BiIrS

Sn2BiIrS after structural relaxation (PBE, Alexandria via LeMat-Bulk).

Geometry as extended XYZ:
```
5
Lattice="-3.291 0.077 -4.441 -0.179 -4.328 0.058 -4.436 0.227 3.291" Properties=species:S:1:pos:R:3 pbc="T T T"
S 0.000 0.000 0.000
Ir -0.089 -2.164 0.029
Bi -3.953 -2.012 -0.546
Sn -2.218 0.114 1.646
Sn -1.646 0.038 -2.220
```

Calculated values
calculated total energy	-4.579	eV per atom
formation energy from raw total energies	0.3958	eV/atom



(2)
# TcBiIr2S

TcBiIr2S after structural relaxation (PBE, Alexandria via LeMat-Bulk).

Geometry as extended XYZ:
```
5
Lattice="4.865 0.000 0.000 0.000 4.415 0.000 0.000 0.000 4.865" Properties=species:S:1:pos:R:3 pbc="T T T"
S 0.000 2.207 0.000
Ir 0.000 0.000 2.433
Ir 2.433 0.000 0.000
Bi 2.433 2.207 2.433
Tc 0.000 0.000 0.000
```

Calculated values
calculated total energy	-6.317	eV per atom
formation energy from raw total energies	0.9020	eV/atom



(3)
# Th4BiIrS2

Th4BiIrS2 after structural relaxation (PBE, Alexandria via LeMat-Bulk).

Geometry as extended XYZ:
```
8
Lattice="-2.007 0.332 -3.572 6.277 -0.720 -3.594 1.195 -7.457 -1.366" Properties=species:S:1:pos:R:3 pbc="T T T"
Th 5.736 -5.943 -3.776
Th -0.270 -1.901 -4.756
Th 3.977 -2.446 -4.827
Th 1.489 -5.398 -3.704
Bi 2.135 -0.194 -3.583
Ir 3.736 -4.089 -2.480
S 1.195 -7.457 -1.366
S -0.406 -3.562 -2.469
```

Calculated values
calculated total energy	-7.548	eV per atom
formation energy from raw total energies	-1.2133	eV/atom



(4)
# Bi3SbIr

Bi3SbIr after structural relaxation (PBE, Alexandria via LeMat-Bulk).

Geometry as extended XYZ:
```
5
Lattice="-1.560 -5.069 -0.932 3.492 -1.756 3.704 -3.791 0.468 3.795" Properties=species:S:1:pos:R:3 pbc="T T T"
Sb -0.929 -3.178 3.284
Ir 0.000 0.000 0.000
Bi 1.746 -0.878 1.852
Bi -1.895 0.234 1.898
Bi -0.780 -2.534 -0.466
```

Calculated values
calculated total energy	-4.437	eV per atom
formation energy from raw total energies	0.4884	eV/atom